No. 1
# TaTlS2, optimized geometry, DFT GGA-PBE
data_TaTlS2
_chemical_formula_sum 'Ta4 Tl4 S8'
_cell_length_a 7.959
_cell_length_b 3.966
_cell_length_c 13.239
_cell_angle_alpha 90.00
_cell_angle_beta 90.00
_cell_angle_gamma 90.00
_symmetry_space_group_name_H-M 'P n m a'
_symmetry_Int_Tables_number 62
_symmetry_space_group_name_Hall '-P 2ac 2n'
loop_
_atom_site_label
_atom_site_type_symbol
_atom_site_fract_x
_atom_site_fract_y
_atom_site_fract_z
_atom_site_occupancy
Ta1 Ta 0.029 0.250 0.079 1
Tl1 Tl 0.098 0.750 0.355 1
S1 S 0.131 0.750 0.774 1
S2 S 0.193 0.750 0.046 1
# - Electronic total energy: -6.176 eV/atom
# - D(E_F): 0.4109 states/eV/atom
# - M_tot: 0.0000 μB/atom

***

No. 2
# LiPuZrIr, optimized geometry, DFT GGA-PBE
data_LiPuZrIr
_chemical_formula_sum 'Li4 Pu4 Zr4 Ir4'
_cell_length_a 6.771
_cell_length_b 6.771
_cell_length_c 6.771
_cell_angle_alpha 90.00
_cell_angle_beta 90.00
_cell_angle_gamma 90.00
_symmetry_space_group_name_H-M 'F -4 3 m'
_symmetry_Int_Tables_number 216
_symmetry_space_group_name_Hall 'F -4 2 3'
loop_
_atom_site_label
_atom_site_type_symbol
_atom_site_fract_x
_atom_site_fract_y
_atom_site_fract_z
_atom_site_occupancy
Li1 Li 0.000 0.000 0.000 1
Pu1 Pu 0.250 0.250 0.250 1
Zr1 Zr 0.250 0.250 0.750 1
Ir1 Ir 0.000 0.000 0.500 1
# - Electronic total energy: -8.677 eV/atom
# - D(E_F): 1.4653 states/eV/atom
# - ΔH_f (0 K): -264 meV per atom
# - M_tot: 1.4187 μB/atom

***

No. 3
# AcInHgSb, optimized geometry, DFT GGA-PBE
data_AcInHgSb
_chemical_formula_sum 'Ac4 In4 Hg4 Sb4'
_cell_length_a 7.893
_cell_length_b 7.893
_cell_length_c 7.893
_cell_angle_alpha 90.00
_cell_angle_beta 90.00
_cell_angle_gamma 90.00
_symmetry_space_group_name_H-M 'F -4 3 m'
_symmetry_Int_Tables_number 216
_symmetry_space_group_name_Hall 'F -4 2 3'
loop_
_atom_site_label
_atom_site_type_symbol
_atom_site_fract_x
_atom_site_fract_y
_atom_site_fract_z
_atom_site_occupancy
Ac1 Ac 0.000 0.000 0.000 1
In1 In 0.000 0.000 0.500 1
Hg1 Hg 0.250 0.250 0.750 1
Sb1 Sb 0.250 0.250 0.250 1
# - Electronic total energy: -3.259 eV/atom
# - D(E_F): 0.7981 states/eV/atom
# - M_tot: 0.0000 μB/atom

***

No. 4
# La2AlGe4Au3, optimized geometry, DFT GGA-PBE
data_La2AlGe4Au3
_chemical_formula_sum 'La2 Al1 Ge4 Au3'
_cell_length_a 4.500
_cell_length_b 4.500
_cell_length_c 10.594
_cell_angle_alpha 90.00
_cell_angle_beta 90.00
_cell_angle_gamma 90.00
_symmetry_space_group_name_H-M 'P -4 m 2'
_symmetry_Int_Tables_number 115
_symmetry_space_group_name_Hall 'P -4 -2'
loop_
_atom_site_label
_atom_site_type_symbol
_atom_site_fract_x
_atom_site_fract_y
_atom_site_fract_z
_atom_site_occupancy
La1 La 0.000 0.500 0.247 1
Al1 Al 0.000 0.000 0.500 1
Ge1 Ge 0.000 0.000 0.000 1
Ge2 Ge 0.000 0.500 0.632 1
Ge3 Ge 0.500 0.500 0.000 1
Au1 Au 0.000 0.500 0.870 1
Au2 Au 0.500 0.500 0.500 1
# - Electronic total energy: -4.768 eV/atom
# - D(E_F): 0.3429 states/eV/atom
# - ΔH_f (0 K): -578 meV per atom
# - M_tot: 0.0000 μB/atom

***

No. 5
# BaReSe2, optimized geometry, DFT GGA-PBE
data_BaReSe2
_chemical_formula_sum 'Ba1 Re1 Se2'
_cell_length_a 3.512
_cell_length_b 3.512
_cell_length_c 8.323
_cell_angle_alpha 90.00
_cell_angle_beta 90.00
_cell_angle_gamma 90.00
_symmetry_space_group_name_H-M 'P 4 m m'
_symmetry_Int_Tables_number 99
_symmetry_space_group_name_Hall 'P 4 -2'
loop_
_atom_site_label
_atom_site_type_symbol
_atom_site_fract_x
_atom_site_fract_y
_atom_site_fract_z
_atom_site_occupancy
Ba1 Ba 0.000 0.000 0.000 1
Re1 Re 0.500 0.500 0.476 1
Se1 Se 0.000 0.000 0.378 1
Se2 Se 0.500 0.500 0.766 1
# - Electronic total energy: -5.349 eV/atom
# - D(E_F): 1.0296 states/eV/atom
# - Relative energy among the computed polymorphs: 0.488 eV/atom
# - M_tot: 0.0000 μB/atom

***

No. 6
# HfHgI2N, optimized geometry, DFT GGA-PBE
data_HfHgI2N
_chemical_formula_sum 'Hf1 Hg1 I2 N1'
_cell_length_a 6.133
_cell_length_b 6.133
_cell_length_c 3.849
_cell_angle_alpha 90.00
_cell_angle_beta 90.00
_cell_angle_gamma 90.00
_symmetry_space_group_name_H-M 'P 4/m m m'
_symmetry_Int_Tables_number 123
_symmetry_space_group_name_Hall '-P 4 2'
loop_
_atom_site_label
_atom_site_type_symbol
_atom_site_fract_x
_atom_site_fract_y
_atom_site_fract_z
_atom_site_occupancy
Hf1 Hf 0.000 0.000 0.000 1
Hg1 Hg 0.500 0.500 0.500 1
I1 I 0.000 0.500 0.500 1
N1 N 0.500 0.500 0.000 1
# - Electronic total energy: -3.054 eV/atom
# - D(E_F): 1.2462 states/eV/atom
# - Relative energy among the computed polymorphs: 1.498 eV/atom
# - M_tot: 0.0002 μB/atom

***

No. 7
# Cs5KRb, optimized geometry, DFT GGA-PBE
data_Cs5KRb
_chemical_formula_sum 'Cs10 K2 Rb2'
_cell_length_a 12.099
_cell_length_b 17.484
_cell_length_c 9.560
_cell_angle_alpha 90.00
_cell_angle_beta 90.00
_cell_angle_gamma 90.00
_symmetry_space_group_name_H-M 'I m m 2'
_symmetry_Int_Tables_number 44
_symmetry_space_group_name_Hall 'I 2 -2'
loop_
_atom_site_label
_atom_site_type_symbol
_atom_site_fract_x
_atom_site_fract_y
_atom_site_fract_z
_atom_site_occupancy
Cs1 Cs 0.000 0.000 0.000 1
Cs2 Cs 0.000 0.251 0.359 1
Cs3 Cs 0.183 0.500 0.790 1
K1 K 0.000 0.500 0.272 1
Rb1 Rb 0.000 0.000 0.557 1
# - Electronic total energy: -0.727 eV/atom
# - D(E_F): 1.1733 states/eV/atom
# - Relative energy among the computed polymorphs: 0.147 eV/atom
# - ΔH_f (0 K): 177 meV per atom
# - M_tot: 0.0000 μB/atom

***

No. 8
# Sr2Zn3In, optimized geometry, DFT GGA-PBE
data_Sr2Zn3In
_chemical_formula_sum 'Sr4 Zn6 In2'
_cell_length_a 11.252
_cell_length_b 4.802
_cell_length_c 7.920
_cell_angle_alpha 90.00
_cell_angle_beta 133.38
_cell_angle_gamma 90.00
_symmetry_space_group_name_H-M 'C 1 m 1'
_symmetry_Int_Tables_number 8
_symmetry_space_group_name_Hall 'C -2y'
loop_
_atom_site_label
_atom_site_type_symbol
_atom_site_fract_x
_atom_site_fract_y
_atom_site_fract_z
_atom_site_occupancy
Sr1 Sr 0.000 0.000 0.000 1
Sr2 Sr 0.090 0.000 0.594 1
Zn1 Zn 0.210 0.500 0.022 1
Zn2 Zn 0.372 0.000 0.181 1
Zn3 Zn 0.391 0.000 0.598 1
In1 In 0.209 0.500 0.403 1
# - Electronic total energy: -1.945 eV/atom
# - D(E_F): 0.6538 states/eV/atom
# - Relative energy among the computed polymorphs: 0.000 eV/atom
# - ΔH_f (0 K): -291 meV per atom
# - M_tot: 0.0000 μB/atom

***

No. 9
# LiPtCl2, optimized geometry, DFT GGA-PBE
data_LiPtCl2
_chemical_formula_sum 'Li2 Pt2 Cl4'
_cell_length_a 3.694
_cell_length_b 7.827
_cell_length_c 6.621
_cell_angle_alpha 90.00
_cell_angle_beta 90.00
_cell_angle_gamma 90.00
_symmetry_space_group_name_H-M 'C m m m'
_symmetry_Int_Tables_number 65
_symmetry_space_group_name_Hall '-C 2 2'
loop_
_atom_site_label
_atom_site_type_symbol
_atom_site_fract_x
_atom_site_fract_y
_atom_site_fract_z
_atom_site_occupancy
Li1 Li 0.000 0.000 0.000 1
Pt1 Pt 0.000 0.000 0.500 1
Cl1 Cl 0.000 0.500 0.253 1
# - Electronic total energy: -3.386 eV/atom
# - D(E_F): 0.1395 states/eV/atom
# - Relative energy among the computed polymorphs: 0.249 eV/atom
# - M_tot: 0.2382 μB/atom

***

No. 10
# PmErCo, optimized geometry, DFT GGA-PBE
data_PmErCo
_chemical_formula_sum 'Pm8 Er8 Co8'
_cell_length_a 5.884
_cell_length_b 15.919
_cell_length_c 6.405
_cell_angle_alpha 90.00
_cell_angle_beta 90.00
_cell_angle_gamma 90.00
_symmetry_space_group_name_H-M 'C m c e'
_symmetry_Int_Tables_number 64
_symmetry_space_group_name_Hall '-C 2ac 2'
loop_
_atom_site_label
_atom_site_type_symbol
_atom_site_fract_x
_atom_site_fract_y
_atom_site_fract_z
_atom_site_occupancy
Pm1 Pm 0.000 0.188 0.095 1
Er1 Er 0.000 0.086 0.613 1
Co1 Co 0.250 0.057 0.250 1
# - Electronic total energy: -5.383 eV/atom
# - D(E_F): 0.7723 states/eV/atom
# - Relative energy among the computed polymorphs: 0.226 eV/atom
# - ΔH_f (0 K): 90 meV per atom
# - M_tot: 0.0000 μB/atom

***

No. 11
# SrSmEu, optimized geometry, DFT GGA-PBE
data_SrSmEu
_chemical_formula_sum 'Sr2 Sm2 Eu2'
_cell_length_a 3.879
_cell_length_b 3.879
_cell_length_c 16.701
_cell_angle_alpha 90.00
_cell_angle_beta 90.00
_cell_angle_gamma 90.00
_symmetry_space_group_name_H-M 'I 4 m m'
_symmetry_Int_Tables_number 107
_symmetry_space_group_name_Hall 'I 4 -2'
loop_
_atom_site_label
_atom_site_type_symbol
_atom_site_fract_x
_atom_site_fract_y
_atom_site_fract_z
_atom_site_occupancy
Sr1 Sr 0.000 0.000 0.000 1
Sm1 Sm 0.000 0.000 0.332 1
Eu1 Eu 0.000 0.000 0.684 1
# - Electronic total energy: -5.446 eV/atom
# - D(E_F): 1.3996 states/eV/atom
# - Relative energy among the computed polymorphs: 0.000 eV/atom
# - ΔH_f (0 K): 113 meV per atom
# - M_tot: 2.6058 μB/atom

***

No. 12
# DyEr3Ga2, optimized geometry, DFT GGA-PBE
data_DyEr3Ga2
_chemical_formula_sum 'Dy4 Er12 Ga8'
_cell_length_a 15.842
_cell_length_b 5.029
_cell_length_c 8.805
_cell_angle_alpha 90.00
_cell_angle_beta 117.95
_cell_angle_gamma 90.00
_symmetry_space_group_name_H-M 'C 1 2/m 1'
_symmetry_Int_Tables_number 12
_symmetry_space_group_name_Hall '-C 2y'
loop_
_atom_site_label
_atom_site_type_symbol
_atom_site_fract_x
_atom_site_fract_y
_atom_site_fract_z
_atom_site_occupancy
Dy1 Dy 0.130 0.000 0.189 1
Er1 Er 0.062 0.000 0.717 1
Er2 Er 0.121 0.500 0.513 1
Er3 Er 0.187 0.500 0.992 1
Ga1 Ga 0.016 0.500 0.152 1
Ga2 Ga 0.227 0.000 0.615 1
# - Electronic total energy: -4.386 eV/atom
# - D(E_F): 0.8385 states/eV/atom
# - Relative energy among the computed polymorphs: 0.104 eV/atom
# - ΔH_f (0 K): -328 meV per atom
# - M_tot: 0.0014 μB/atom

***

> Number 9 is which compound?

LiPtCl2